w | Here is SnAu2Br8 after structural relaxation from the Alexandria database. Energies are from PBE-GGA. Values from VASP.

```
&SYSTEM
  ibrav = 0, nat = 11, ntyp = 3
/
ATOMIC_SPECIES
Br 79.90 Br.upf
Sn 118.71 Sn.upf
Au 196.97 Au.upf
ATOMIC_POSITIONS crystal
Br 0.2644 0.1791 0.1791
Br 0.1939 0.0994 0.7060
Br 0.1939 0.7060 0.0994
Br 0.2843 0.5726 0.5726
Br 0.7356 0.8209 0.8209
Br 0.7157 0.4274 0.4274
Br 0.8061 0.2940 0.9006
Br 0.8061 0.9006 0.2940
Sn 0.0000 0.0000 0.0000
Au 0.7638 0.2412 0.2412
Au 0.2362 0.7588 0.7588
CELL_PARAMETERS angstrom
7.2816 -1.1166 -0.7800
-0.3726 7.6148 -0.1857
-0.3726 2.4463 7.2136
```

Computed properties:
Its magnetization is 0.000 μB/cell. The calculation puts the density of states at the Fermi level at 5.12 states/eV per cell.

***

x | Here is SnAu2Br8 after structural relaxation from the Alexandria database. Energies are from PBE-GGA. Values from VASP.

```
&SYSTEM
  ibrav = 0, nat = 11, ntyp = 3
/
ATOMIC_SPECIES
Au 196.97 Au.upf
Br 79.90 Br.upf
Sn 118.71 Sn.upf
ATOMIC_POSITIONS crystal
Au 0.8820 0.4715 0.7640
Br 0.7031 0.1392 0.4062
Br 0.5253 0.3565 0.0505
Au 0.1180 0.5285 0.2360
Br 0.9280 0.2311 0.8560
Br 0.4747 0.6435 0.9495
Sn 0.5000 0.0000 0.0000
Br 0.0720 0.7689 0.1440
Br 0.8561 0.7348 0.7122
Br 0.2969 0.8608 0.5938
Br 0.1439 0.2652 0.2878
CELL_PARAMETERS angstrom
-7.1863 -0.7862 -2.3782
2.6093 -4.3998 -6.4295
1.2330 -2.1992 9.1775
```

Computed properties:
Its magnetization is 0.000 μB/cell. The calculation puts the density of states at the Fermi level at 3.27 states/eV per cell.

***

Most stable: w. Least stable: x.

***

w | Here is Sr2AuBr after structural relaxation from the Alexandria database. Energies are from PBE-GGA. Values from VASP.

```
&SYSTEM
  ibrav = 0, nat = 8, ntyp = 3
/
ATOMIC_SPECIES
Sr 87.62 Sr.upf
Au 196.97 Au.upf
Br 79.90 Br.upf
ATOMIC_POSITIONS crystal
Sr 0.1167 0.6250 0.2500
Sr 0.6333 0.1250 0.2500
Au 0.7500 0.2500 0.5000
Br 0.2500 0.7500 0.5000
Sr 0.8750 0.8833 0.7500
Br 0.5000 0.5000 0.0000
Sr 0.3750 0.3667 0.7500
Au 0.0000 0.0000 0.0000
CELL_PARAMETERS angstrom
8.2906 0.0000 0.0000
0.0000 8.2906 0.0000
4.1453 4.1453 4.3173
```

Computed properties:
Its magnetization is 0.000 μB/cell. The calculation puts the density of states at the Fermi level at 2.20 states/eV per cell.

***

x | Here is Sr2AuBr after structural relaxation from the Alexandria database. Energies are from PBE-GGA. Values from VASP.

```
&SYSTEM
  ibrav = 0, nat = 4, ntyp = 3
/
ATOMIC_SPECIES
Au 196.97 Au.upf
Br 79.90 Br.upf
Sr 87.62 Sr.upf
ATOMIC_POSITIONS crystal
Au 0.5000 0.5000 0.5000
Br 0.0000 0.0000 0.0000
Sr 0.2500 0.2500 0.2500
Sr 0.7500 0.7500 0.7500
CELL_PARAMETERS angstrom
0.0000 3.9806 3.9806
3.9806 0.0000 3.9806
3.9806 3.9806 0.0000
```

Computed properties:
Its magnetization is 0.000 μB/cell. The calculation puts the density of states at the Fermi level at 3.25 states/eV per cell.

***

y | Here is Sr2AuBr after structural relaxation from the Alexandria database. Energies are from PBE-GGA. Values from VASP.

```
&SYSTEM
  ibrav = 0, nat = 4, ntyp = 3
/
ATOMIC_SPECIES
Sr 87.62 Sr.upf
Au 196.97 Au.upf
Br 79.90 Br.upf
ATOMIC_POSITIONS crystal
Sr 0.4898 0.4898 0.5321
Sr 0.0102 0.0102 0.9679
Au 0.7500 0.7500 0.7500
Br 0.2500 0.2500 0.2500
CELL_PARAMETERS angstrom
-0.1175 0.0810 -4.4530
-2.8115 -2.6607 -2.2059
-6.6370 4.9022 -1.9755
```

Computed properties:
Its magnetization is 0.000 μB/cell. The calculation puts the density of states at the Fermi level at 1.37 states/eV per cell.

***

z | Here is Sr2AuBr after structural relaxation from the Alexandria database. Energies are from PBE-GGA. Values from VASP.

```
&SYSTEM
  ibrav = 0, nat = 4, ntyp = 3
/
ATOMIC_SPECIES
Sr 87.62 Sr.upf
Au 196.97 Au.upf
Br 79.90 Br.upf
ATOMIC_POSITIONS crystal
Sr 0.5000 0.3749 0.3750
Au 0.0000 0.3749 0.3749
Sr 0.0000 0.8750 0.8749
Br 0.5000 0.8752 0.8752
CELL_PARAMETERS angstrom
-2.2885 6.0913 0.0335
-2.0430 -0.7456 -3.9878
-3.7456 -1.4193 2.1889
```

Computed properties:
Its magnetization is 0.386 μB/cell. The calculation puts the density of states at the Fermi level at 4.11 states/eV per cell.

***

Most stable: y. Least stable: x.

***

w | Here is Sr2AuBr after structural relaxation from the Alexandria database. Energies are from PBE-GGA. Values from VASP.

```
&SYSTEM
  ibrav = 0, nat = 4, ntyp = 3
/
ATOMIC_SPECIES
Au 196.97 Au.upf
Sr 87.62 Sr.upf
Br 79.90 Br.upf
ATOMIC_POSITIONS crystal
Au 0.6688 0.6688 0.9937
Sr 0.0724 0.0724 0.7828
Sr 0.2630 0.2630 0.2109
Br 0.4958 0.4958 0.5126
CELL_PARAMETERS angstrom
4.4546 0.0000 0.0000
2.2273 3.8578 0.0000
2.2273 1.2859 8.1684
```

Computed properties:
Its magnetization is 0.000 μB/cell. The calculation puts the density of states at the Fermi level at 1.28 states/eV per cell.

***

x | Here is Sr2AuBr after structural relaxation from the Alexandria database. Energies are from PBE-GGA. Values from VASP.

```
&SYSTEM
  ibrav = 0, nat = 4, ntyp = 3
/
ATOMIC_SPECIES
Br 79.90 Br.upf
Sr 87.62 Sr.upf
Au 196.97 Au.upf
ATOMIC_POSITIONS crystal
Br 0.5000 0.5000 0.5000
Sr 0.0000 0.0000 0.2195
Au 0.5000 0.5000 0.0000
Sr 0.0000 0.0000 0.7805
CELL_PARAMETERS angstrom
3.8694 0.0000 0.0000
0.0000 3.8694 0.0000
0.0000 0.0000 8.3131
```

Computed properties:
Its magnetization is 0.000 μB/cell. The calculation puts the density of states at the Fermi level at 1.86 states/eV per cell.

***

Most stable: w. Least stable: x.